# RbNiO2F

Crystalline RbNiO2F at its relaxed geometry (PBE with a Hubbard U, the Alexandria database).

Results
raw total energy	-0.1512	Ha/atom
size of the total moment	3.5	μB per cell

Cell lengths 3.917, 3.917, 4.525 Å; angles 90.00, 90.00, 90.00 degrees
Sites, in units of the cell vectors:
Ni 0.000 0.000 0.000
O 0.000 0.500 0.000
O 0.500 0.000 0.000
Rb 0.500 0.500 0.500
F 0.000 0.000 0.500